! PBE SiPd3, optimized geometry; values from VASP
&SYSTEM
  ibrav = 0, nat = 32, ntyp = 2
/
ATOMIC_SPECIES
Si 28.09 Si.upf
Pd 106.42 Pd.upf
ATOMIC_POSITIONS crystal
Si 0.040 0.205 0.024
Si 0.205 0.460 0.476
Si 0.295 0.040 0.476
Si 0.460 0.295 0.024
Si 0.540 0.705 0.976
Si 0.705 0.960 0.524
Si 0.795 0.540 0.524
Si 0.960 0.795 0.976
Pd 0.028 0.578 0.736
Pd 0.078 0.972 0.236
Pd 0.113 0.216 0.532
Pd 0.141 0.667 0.224
Pd 0.167 0.859 0.724
Pd 0.216 0.387 0.968
Pd 0.284 0.113 0.968
Pd 0.333 0.641 0.724
Pd 0.359 0.833 0.224
Pd 0.387 0.284 0.532
Pd 0.422 0.528 0.236
Pd 0.472 0.922 0.736
Pd 0.528 0.078 0.264
Pd 0.578 0.472 0.764
Pd 0.613 0.716 0.468
Pd 0.641 0.167 0.776
Pd 0.667 0.359 0.276
Pd 0.716 0.887 0.032
Pd 0.784 0.613 0.032
Pd 0.833 0.141 0.276
Pd 0.859 0.333 0.776
Pd 0.887 0.784 0.468
Pd 0.922 0.028 0.764
Pd 0.972 0.422 0.264
CELL_PARAMETERS angstrom
9.797 0.000 0.000
0.000 9.797 0.000
0.000 0.000 4.913
! raw formation energy	-564	meV per atom
! total magnetization	0.00	μB/atom
! SG	No. 86
! theoretical density	9.8	Mg/m³



! PBE SiPd, optimized geometry; values from VASP
&SYSTEM
  ibrav = 0, nat = 12, ntyp = 2
/
ATOMIC_SPECIES
Si 28.09 Si.upf
Pd 106.42 Pd.upf
ATOMIC_POSITIONS crystal
Si 0.000 0.245 0.000
Si 0.227 0.001 0.215
Si 0.273 0.999 0.715
Si 0.500 0.755 0.500
Si 0.727 0.999 0.715
Si 0.773 0.001 0.215
Pd 0.000 0.744 0.230
Pd 0.226 0.500 0.941
Pd 0.274 0.500 0.441
Pd 0.500 0.256 0.730
Pd 0.726 0.500 0.441
Pd 0.774 0.500 0.941
CELL_PARAMETERS angstrom
9.529 0.000 0.000
0.000 4.219 0.000
0.000 0.000 5.381
! raw formation energy	-217	meV per atom
! total magnetization	0.00	μB/atom
! SG	No. 31
! theoretical density	6.2	Mg/m³



! PBE Si2Pd, optimized geometry; values from VASP
&SYSTEM
  ibrav = 0, nat = 12, ntyp = 2
/
ATOMIC_SPECIES
Si 28.09 Si.upf
Pd 106.42 Pd.upf
ATOMIC_POSITIONS crystal
Si 0.000 0.031 0.250
Si 0.000 0.366 0.250
Si 0.000 0.634 0.750
Si 0.000 0.969 0.750
Si 0.500 0.134 0.750
Si 0.500 0.469 0.750
Si 0.500 0.531 0.250
Si 0.500 0.866 0.250
Pd 0.000 0.301 0.750
Pd 0.000 0.699 0.250
Pd 0.500 0.199 0.250
Pd 0.500 0.801 0.750
CELL_PARAMETERS angstrom
2.894 0.000 0.000
0.000 12.565 0.000
-0.032 0.000 4.855
! raw formation energy	-167	meV per atom
! total magnetization	0.00	μB/atom
! SG	No. 15
! theoretical density	6.1	Mg/m³



! PBE SiPd4, optimized geometry; values from VASP
&SYSTEM
  ibrav = 0, nat = 10, ntyp = 2
/
ATOMIC_SPECIES
Si 28.09 Si.upf
Pd 106.42 Pd.upf
ATOMIC_POSITIONS crystal
Si 0.000 0.000 0.000
Si 0.250 0.250 0.250
Pd 0.309 0.394 0.465
Pd 0.394 0.309 0.832
Pd 0.418 0.785 0.856
Pd 0.471 0.864 0.407
Pd 0.785 0.418 0.941
Pd 0.843 0.991 0.779
Pd 0.864 0.471 0.259
Pd 0.991 0.843 0.386
CELL_PARAMETERS angstrom
0.000 5.396 3.046
4.754 0.000 3.046
4.754 5.396 0.000
! excess energy over the best structure of this formula in the dataset	56	meV/atom
! raw formation energy	-402	meV per atom
! total magnetization	0.00	μB/atom
! SG	No. 43
! theoretical density	9.6	Mg/m³



! PBE SiPd, optimized geometry; values from VASP
&SYSTEM
  ibrav = 0, nat = 4, ntyp = 2
/
ATOMIC_SPECIES
Si 28.09 Si.upf
Pd 106.42 Pd.upf
ATOMIC_POSITIONS crystal
Si 0.081 0.250 0.157
Si 0.919 0.750 0.843
Pd 0.196 0.750 0.391
Pd 0.804 0.250 0.609
CELL_PARAMETERS angstrom
2.897 0.000 0.000
0.000 4.701 0.000
-1.423 0.000 4.462
! raw formation energy	-406	meV per atom
! total magnetization	0.00	μB/atom
! SG	No. 11
! theoretical density	7.3	Mg/m³



! PBE SiPd2, optimized geometry; values from VASP
&SYSTEM
  ibrav = 0, nat = 9, ntyp = 2
/
ATOMIC_SPECIES
Si 28.09 Si.upf
Pd 106.42 Pd.upf
ATOMIC_POSITIONS crystal
Si 0.000 0.000 0.000
Si 0.333 0.667 0.500
Si 0.667 0.333 0.500
Pd 0.000 0.265 0.500
Pd 0.000 0.606 0.000
Pd 0.265 0.000 0.500
Pd 0.394 0.394 0.000
Pd 0.606 0.000 0.000
Pd 0.735 0.735 0.500
CELL_PARAMETERS angstrom
6.518 0.000 0.000
-3.259 5.645 0.000
0.000 0.000 3.539
! raw formation energy	-682	meV per atom
! total magnetization	0.00	μB/atom
! SG	No. 189
! theoretical density	9.2	Mg/m³